[1]
The following is a DFT calculation (GGA-PBE) of crystalline Li2TiTl at its relaxed geometry.

Uncorrected energy, eV/cell: -25.4
Space group: I-42d (122)
Energy of formation from the pure elements, eV/atom: 0.3411

Unit cell a=5.9882 b=5.9882 c=5.9882 alpha=102.97 beta=102.97 gamma=123.45
With the nearest neighbours (Å) after each atom.
Element x y z (fractional)
Li 0.1152 0.6250 0.9902  2 Tl 2.68, 2 Ti 2.78, 2 Li 2.84
Li 0.3750 0.3652 0.4902  2 Tl 2.68, 2 Ti 2.78, 2 Li 2.84
Li 0.6348 0.1250 0.0098  2 Tl 2.68, 2 Ti 2.78, 2 Li 2.84
Li 0.8750 0.8848 0.5098  2 Tl 2.68, 2 Ti 2.78, 2 Li 2.84
Ti 0.2500 0.7500 0.5000  4 Li 2.78, 2 Tl 2.84
Ti 0.5000 0.5000 0.0000  4 Li 2.78, 2 Tl 2.84
Tl 0.0000 0.0000 0.0000  4 Li 2.68, 2 Ti 2.84
Tl 0.7500 0.2500 0.5000  4 Li 2.68, 2 Ti 2.84

=====

[2]
The following is a DFT calculation (GGA-PBE) of crystalline LiTi3Tl at its relaxed geometry.

Uncorrected energy, eV/cell: -21.7
Space group: Pm-3m (221)
Energy of formation from the pure elements, eV/atom: 1.2586

Unit cell a=5.2338 b=5.2338 c=5.2338 alpha=90.00 beta=90.00 gamma=90.00
With the nearest neighbours (Å) after each atom.
Element x y z (fractional)
Li 0.0000 0.0000 0.0000  12 Ti 3.70
Ti 0.0000 0.5000 0.5000  2 Tl 2.62
Ti 0.5000 0.0000 0.5000  2 Tl 2.62
Ti 0.5000 0.5000 0.0000  2 Tl 2.62
Tl 0.5000 0.5000 0.5000  6 Ti 2.62

=====

[3]
The following is a DFT calculation (GGA-PBE) of crystalline LiTi2Tl2 at its relaxed geometry.

Uncorrected energy, eV/cell: -43.5
Space group: P4/mbm (127)
Energy of formation from the pure elements, eV/atom: 0.1384

Unit cell a=8.3317 b=8.3317 c=3.1441 alpha=90.00 beta=90.00 gamma=90.00
With the nearest neighbours (Å) after each atom.
Element x y z (fractional)
Li 0.0000 0.0000 0.0000  4 Tl 3.05, 2 Li 3.14
Li 0.5000 0.5000 0.0000  4 Tl 3.05, 2 Li 3.14
Ti 0.1129 0.3871 0.5000  1 Ti 2.66, 2 Tl 2.87
Ti 0.3871 0.8871 0.5000  1 Ti 2.66, 2 Tl 2.87
Ti 0.6129 0.1129 0.5000  1 Ti 2.66, 2 Tl 2.87
Ti 0.8871 0.6129 0.5000  1 Ti 2.66, 2 Tl 2.87
Tl 0.1835 0.6835 0.0000  6 Ti 2.87-2.99, 2 Li 3.05, 2 Tl 3.14
Tl 0.3165 0.1835 0.0000  6 Ti 2.87-2.99, 2 Li 3.05, 2 Tl 3.14
Tl 0.6835 0.8165 0.0000  6 Ti 2.87-2.99, 2 Li 3.05, 2 Tl 3.14
Tl 0.8165 0.3165 0.0000  6 Ti 2.87-2.99, 2 Li 3.05, 2 Tl 3.14

=====

[4]
The following is a DFT calculation (GGA-PBE) of crystalline LiTiTl at its relaxed geometry.

Uncorrected energy, eV/cell: -11.3
Space group: P-6m2 (187)
Energy of formation from the pure elements, eV/atom: 0.2922

Unit cell a=4.8735 b=4.8735 c=3.0324 alpha=90.00 beta=90.00 gamma=120.00
With the nearest neighbours (Å) after each atom.
Element x y z (fractional)
Li 0.0000 0.0000 0.0000  2 Li 3.03, 6 Ti 3.20, 6 Tl 3.20
Ti 0.6667 0.3333 0.5000  3 Tl 2.81, 2 Ti 3.03
Tl 0.3333 0.6667 0.5000  3 Ti 2.81, 2 Tl 3.03

=====

[5]
The following is a DFT calculation (GGA-PBE) of crystalline LiTiTl at its relaxed geometry.

Uncorrected energy, eV/cell: -24.4
Space group: P4mm (99)
Energy of formation from the pure elements, eV/atom: -0.0139

Unit cell a=3.3457 b=3.3457 c=10.2454 alpha=90.00 beta=90.00 gamma=90.00
With the nearest neighbours (Å) after each atom.
Element x y z (fractional)
Li 0.0000 0.0000 0.0000  8 Tl 2.94-3.01
Li 0.0000 0.0000 0.3313  4 Tl 2.82, 4 Ti 2.95
Ti 0.0000 0.0000 0.6505  4 Ti 2.81, 4 Tl 3.00
Ti 0.5000 0.5000 0.5025  4 Ti 2.81, 4 Li 2.95
Tl 0.5000 0.5000 0.1821  8 Li 2.82-3.01
Tl 0.5000 0.5000 0.8304  4 Li 2.94, 4 Ti 3.00

=====

[6]
The following is a DFT calculation (GGA-PBE) of crystalline LiTi2Tl2 at its relaxed geometry.

Uncorrected energy, eV/cell: -19.6
Space group: I4/mmm (139)
Energy of formation from the pure elements, eV/atom: 0.5764

Unit cell a=6.9469 b=6.9469 c=6.9469 alpha=143.94 beta=143.94 gamma=51.92
With the nearest neighbours (Å) after each atom.
Element x y z (fractional)
Li 0.0000 0.0000 0.0000  8 Ti 3.21
Ti 0.4176 0.4176 0.0000  1 Ti 2.06
Ti 0.5824 0.5824 0.0000  1 Ti 2.06
Tl 0.2500 0.7500 0.5000  4 Ti 3.00, 4 Tl 3.04
Tl 0.7500 0.2500 0.5000  4 Ti 3.00, 4 Tl 3.04

=====

[7]
The following is a DFT calculation (GGA-PBE) of crystalline LiTiTl at its relaxed geometry.

Uncorrected energy, eV/cell: -23.0
Space group: P6_3/mmc (194)
Energy of formation from the pure elements, eV/atom: 0.2297

Unit cell a=4.5850 b=4.5850 c=6.0063 alpha=90.00 beta=90.00 gamma=120.00
With the nearest neighbours (Å) after each atom.
Element x y z (fractional)
Li 0.3333 0.6667 0.2500  3 Ti 2.65
Li 0.6667 0.3333 0.7500  3 Ti 2.65
Ti 0.3333 0.6667 0.7500  3 Li 2.65
Ti 0.6667 0.3333 0.2500  3 Li 2.65
Tl 0.0000 0.0000 0.0000  2 Tl 3.00, 6 Ti 3.04, 6 Li 3.04
Tl 0.0000 0.0000 0.5000  2 Tl 3.00, 6 Li 3.04, 6 Ti 3.04

=====

[8]
The following is a DFT calculation (GGA-PBE) of crystalline Li4TiTl5 at its relaxed geometry.

Uncorrected energy, eV/cell: -28.7
Space group: P4/mmm (123)
Energy of formation from the pure elements, eV/atom: -0.1316

Unit cell a=3.3544 b=3.3544 c=18.3948 alpha=90.00 beta=90.00 gamma=90.00
With the nearest neighbours (Å) after each atom.
Element x y z (fractional)
Li 0.0000 0.0000 0.1040  8 Tl 3.00-3.05, 4 Li 3.35
Li 0.0000 0.0000 0.3036  8 Tl 2.95-2.99
Li 0.0000 0.0000 0.6964  8 Tl 2.95-2.99
Li 0.0000 0.0000 0.8960  8 Tl 3.00-3.05, 4 Li 3.35
Ti 0.0000 0.0000 0.5000  8 Tl 3.02, 4 Ti 3.35
Tl 0.5000 0.5000 0.0000  8 Li 3.05, 4 Tl 3.35
Tl 0.5000 0.5000 0.2042  8 Li 2.99-3.00
Tl 0.5000 0.5000 0.3988  4 Li 2.95, 4 Ti 3.02
Tl 0.5000 0.5000 0.6012  4 Li 2.95, 4 Ti 3.02
Tl 0.5000 0.5000 0.7958  8 Li 2.99-3.00

=====

What did the first record say?
The following is a DFT calculation (GGA-PBE) of crystalline Li2TiTl at its relaxed geometry.

Uncorrected energy, eV/cell: -25.4
Space group: I-42d (122)
Energy of formation from the pure elements, eV/atom: 0.3411

Unit cell a=5.9882 b=5.9882 c=5.9882 alpha=102.97 beta=102.97 gamma=123.45
With the nearest neighbours (Å) after each atom.
Element x y z (fractional)
Li 0.1152 0.6250 0.9902  2 Tl 2.68, 2 Ti 2.78, 2 Li 2.84
Li 0.3750 0.3652 0.4902  2 Tl 2.68, 2 Ti 2.78, 2 Li 2.84
Li 0.6348 0.1250 0.0098  2 Tl 2.68, 2 Ti 2.78, 2 Li 2.84
Li 0.8750 0.8848 0.5098  2 Tl 2.68, 2 Ti 2.78, 2 Li 2.84
Ti 0.2500 0.7500 0.5000  4 Li 2.78, 2 Tl 2.84
Ti 0.5000 0.5000 0.0000  4 Li 2.78, 2 Tl 2.84
Tl 0.0000 0.0000 0.0000  4 Li 2.68, 2 Ti 2.84
Tl 0.7500 0.2500 0.5000  4 Li 2.68, 2 Ti 2.84

=====

Which of these has the lowest energy of formation from the pure elements?
Li4TiTl5